# 1
# Ba3Si, single point on PBEsol structure, DFT SCAN
# **Total magnetization**: 0.26 μB per formula unit
# **Energy above the most stable polymorph in this dataset**: 58 meV/atom
# **Energy relative to the elements, uncorrected**: -0.157 eV/atom
data_Ba3Si
_symmetry_space_group_name_H-M 'I m m m'
_symmetry_Int_Tables_number 71
_symmetry_space_group_name_Hall '-I 2 2'
_cell_length_a 4.0235
_cell_length_b 5.6855
_cell_length_c 15.7918
_cell_angle_alpha 90.00
_cell_angle_beta 90.00
_cell_angle_gamma 90.00
loop_
_atom_site_label
_atom_site_type_symbol
_atom_site_fract_x
_atom_site_fract_y
_atom_site_fract_z
Ba1 Ba 0.0000 0.0000 0.0000
Ba2 Ba 0.0000 0.5000 0.1619
Si1 Si 0.0000 0.0000 0.5000

---

# 2
# BaSi7, single point on PBEsol structure, DFT SCAN
# **Total magnetization**: 0.00 μB per formula unit
# **Energy relative to the elements, uncorrected**: 0.894 eV/atom
data_BaSi7
_symmetry_space_group_name_H-M 'F m -3 m'
_symmetry_Int_Tables_number 225
_symmetry_space_group_name_Hall '-F 4 2 3'
_cell_length_a 8.3913
_cell_length_b 8.3913
_cell_length_c 8.3913
_cell_angle_alpha 90.00
_cell_angle_beta 90.00
_cell_angle_gamma 90.00
loop_
_atom_site_label
_atom_site_type_symbol
_atom_site_fract_x
_atom_site_fract_y
_atom_site_fract_z
Ba1 Ba 0.0000 0.0000 0.0000
Si1 Si 0.0000 0.0000 0.5000
Si2 Si 0.0000 0.2500 0.2500

---

# 3
# Ba3Si23, single point on PBEsol structure, DFT SCAN
# **Total magnetization**: 0.00 μB per formula unit
# **Energy relative to the elements, uncorrected**: -0.077 eV/atom
data_Ba3Si23
_symmetry_space_group_name_H-M 'P m -3 n'
_symmetry_Int_Tables_number 223
_symmetry_space_group_name_Hall '-P 4n 2 3'
_cell_length_a 10.2223
_cell_length_b 10.2223
_cell_length_c 10.2223
_cell_angle_alpha 90.00
_cell_angle_beta 90.00
_cell_angle_gamma 90.00
loop_
_atom_site_label
_atom_site_type_symbol
_atom_site_fract_x
_atom_site_fract_y
_atom_site_fract_z
Ba1 Ba 0.0000 0.2500 0.5000
Si1 Si 0.0000 0.3048 0.1198
Si2 Si 0.0000 0.5000 0.2500
Si3 Si 0.1841 0.1841 0.1841

---

# 4
# BaSrSi, single point on PBEsol structure, DFT SCAN
# **Total magnetization**: 0.00 μB per formula unit
# **Energy relative to the elements, uncorrected**: -0.156 eV/atom
data_BaSrSi
_symmetry_space_group_name_H-M 'P 3 m 1'
_symmetry_Int_Tables_number 156
_symmetry_space_group_name_Hall 'P 3 -2"'
_cell_length_a 5.1517
_cell_length_b 5.1517
_cell_length_c 4.6375
_cell_angle_alpha 90.00
_cell_angle_beta 90.00
_cell_angle_gamma 120.00
loop_
_atom_site_label
_atom_site_type_symbol
_atom_site_fract_x
_atom_site_fract_y
_atom_site_fract_z
Ba1 Ba 0.0000 0.0000 0.0000
Sr1 Sr 0.6667 0.3333 0.4606
Si1 Si 0.3333 0.6667 0.6709

---

# 5
# BaSrSi4, single point on PBEsol structure, DFT SCAN
# **Total magnetization**: 0.00 μB per formula unit
# **Energy above the most stable polymorph in this dataset**: 0 meV/atom
# **Energy relative to the elements, uncorrected**: -0.372 eV/atom
data_BaSrSi4
_symmetry_space_group_name_H-M 'C 2 2 21'
_symmetry_Int_Tables_number 20
_symmetry_space_group_name_Hall 'C 2c 2'
_cell_length_a 9.2761
_cell_length_b 9.3728
_cell_length_c 6.5863
_cell_angle_alpha 90.00
_cell_angle_beta 90.00
_cell_angle_gamma 90.00
loop_
_atom_site_label
_atom_site_type_symbol
_atom_site_fract_x
_atom_site_fract_y
_atom_site_fract_z
Ba1 Ba 0.0000 0.1242 0.2500
Sr1 Sr 0.1252 0.5000 0.5000
Si1 Si 0.1270 0.2090 0.7918
Si2 Si 0.2008 0.3771 0.0474

---

# 6
# Ba2SrSi2, single point on PBEsol structure, DFT SCAN
# **Total magnetization**: 0.00 μB per formula unit
# **Energy above the most stable polymorph in this dataset**: 236 meV/atom
# **Energy relative to the elements, uncorrected**: -0.120 eV/atom
data_Ba2SrSi2
_symmetry_space_group_name_H-M 'I 4/m m m'
_symmetry_Int_Tables_number 139
_symmetry_space_group_name_Hall '-I 4 2'
_cell_length_a 4.9105
_cell_length_b 4.9105
_cell_length_c 13.7661
_cell_angle_alpha 90.00
_cell_angle_beta 90.00
_cell_angle_gamma 90.00
loop_
_atom_site_label
_atom_site_type_symbol
_atom_site_fract_x
_atom_site_fract_y
_atom_site_fract_z
Ba1 Ba 0.0000 0.5000 0.2500
Sr1 Sr 0.0000 0.0000 0.0000
Si1 Si 0.0000 0.0000 0.4164

---

# 7
# Ba2SrSi2, single point on PBEsol structure, DFT SCAN
# **Total magnetization**: 0.40 μB per formula unit
# **Energy above the most stable polymorph in this dataset**: 0 meV/atom
# **Energy relative to the elements, uncorrected**: -0.356 eV/atom
data_Ba2SrSi2
_symmetry_space_group_name_H-M 'P 4/m b m'
_symmetry_Int_Tables_number 127
_symmetry_space_group_name_Hall '-P 4 2ab'
_cell_length_a 8.1294
_cell_length_b 8.1294
_cell_length_c 5.0721
_cell_angle_alpha 90.00
_cell_angle_beta 90.00
_cell_angle_gamma 90.00
loop_
_atom_site_label
_atom_site_type_symbol
_atom_site_fract_x
_atom_site_fract_y
_atom_site_fract_z
Ba1 Ba 0.1715 0.3285 0.0000
Sr1 Sr 0.0000 0.0000 0.5000
Si1 Si 0.1032 0.6032 0.5000

---

# 8
# BaSr3Si, single point on PBEsol structure, DFT SCAN
# **Total magnetization**: 1.86 μB per formula unit
# **Energy relative to the elements, uncorrected**: -0.122 eV/atom
data_BaSr3Si
_symmetry_space_group_name_H-M 'P m -3 m'
_symmetry_Int_Tables_number 221
_symmetry_space_group_name_Hall '-P 4 2 3'
_cell_length_a 6.1706
_cell_length_b 6.1706
_cell_length_c 6.1706
_cell_angle_alpha 90.00
_cell_angle_beta 90.00
_cell_angle_gamma 90.00
loop_
_atom_site_label
_atom_site_type_symbol
_atom_site_fract_x
_atom_site_fract_y
_atom_site_fract_z
Ba1 Ba 0.0000 0.0000 0.0000
Sr1 Sr 0.0000 0.5000 0.5000
Si1 Si 0.5000 0.5000 0.5000

---

# 9
# BaSrSi4, single point on PBEsol structure, DFT SCAN
# **Total magnetization**: 0.00 μB per formula unit
# **Energy above the most stable polymorph in this dataset**: 64 meV/atom
# **Energy relative to the elements, uncorrected**: -0.308 eV/atom
data_BaSrSi4
_symmetry_space_group_name_H-M 'P n m a'
_symmetry_Int_Tables_number 62
_symmetry_space_group_name_Hall '-P 2ac 2n'
_cell_length_a 8.8481
_cell_length_b 6.5152
_cell_length_c 11.0930
_cell_angle_alpha 90.00
_cell_angle_beta 90.00
_cell_angle_gamma 90.00
loop_
_atom_site_label
_atom_site_type_symbol
_atom_site_fract_x
_atom_site_fract_y
_atom_site_fract_z
Ba1 Ba 0.0211 0.2500 0.1858
Sr1 Sr 0.1515 0.7500 0.4066
Si1 Si 0.0882 0.7500 0.0985
Si2 Si 0.1844 0.0662 0.6485
Si3 Si 0.1952 0.2500 0.4613

---

# 10
# Ba2TaSi, single point on PBEsol structure, DFT SCAN
# **Total magnetization**: 0.00 μB per formula unit
# **Energy relative to the elements, uncorrected**: 0.209 eV/atom
data_Ba2TaSi
_symmetry_space_group_name_H-M 'P 4 m m'
_symmetry_Int_Tables_number 99
_symmetry_space_group_name_Hall 'P 4 -2'
_cell_length_a 3.6015
_cell_length_b 3.6015
_cell_length_c 9.5030
_cell_angle_alpha 90.00
_cell_angle_beta 90.00
_cell_angle_gamma 90.00
loop_
_atom_site_label
_atom_site_type_symbol
_atom_site_fract_x
_atom_site_fract_y
_atom_site_fract_z
Ba1 Ba 0.0000 0.0000 0.0000
Ba2 Ba 0.5000 0.5000 0.4115
Ta1 Ta 0.5000 0.5000 0.7313
Si1 Si 0.0000 0.0000 0.6692

---

# 11
# Ba2TaSi, single point on PBEsol structure, DFT SCAN
# **Total magnetization**: 0.00 μB per formula unit
# **Energy relative to the elements, uncorrected**: 0.925 eV/atom
data_Ba2TaSi
_symmetry_space_group_name_H-M 'C m m m'
_symmetry_Int_Tables_number 65
_symmetry_space_group_name_Hall '-C 2 2'
_cell_length_a 6.4157
_cell_length_b 10.0872
_cell_length_c 3.2977
_cell_angle_alpha 90.00
_cell_angle_beta 90.00
_cell_angle_gamma 90.00
loop_
_atom_site_label
_atom_site_type_symbol
_atom_site_fract_x
_atom_site_fract_y
_atom_site_fract_z
Ba1 Ba 0.2500 0.2500 0.0000
Ta1 Ta 0.0000 0.0000 0.5000
Si1 Si 0.0000 0.5000 0.5000

---

# 12
# BaTa2Si, single point on PBEsol structure, DFT SCAN
# **Total magnetization**: 0.00 μB per formula unit
# **Energy relative to the elements, uncorrected**: 0.592 eV/atom
data_BaTa2Si
_symmetry_space_group_name_H-M 'C 1 2/m 1'
_symmetry_Int_Tables_number 12
_symmetry_space_group_name_Hall '-C 2y'
_cell_length_a 10.4556
_cell_length_b 2.9969
_cell_length_c 5.7986
_cell_angle_alpha 90.00
_cell_angle_beta 103.27
_cell_angle_gamma 90.00
loop_
_atom_site_label
_atom_site_type_symbol
_atom_site_fract_x
_atom_site_fract_y
_atom_site_fract_z
Ba1 Ba 0.0000 0.0000 0.0000
Ta1 Ta 0.2109 0.0000 0.6684
Si1 Si 0.0000 0.5000 0.5000

---

# 13
# BaSiTc3, single point on PBEsol structure, DFT SCAN
# **Total magnetization**: 3.90 μB per formula unit
# **Energy relative to the elements, uncorrected**: 0.852 eV/atom
data_BaSiTc3
_symmetry_space_group_name_H-M 'P m -3 m'
_symmetry_Int_Tables_number 221
_symmetry_space_group_name_Hall '-P 4 2 3'
_cell_length_a 4.6167
_cell_length_b 4.6167
_cell_length_c 4.6167
_cell_angle_alpha 90.00
_cell_angle_beta 90.00
_cell_angle_gamma 90.00
loop_
_atom_site_label
_atom_site_type_symbol
_atom_site_fract_x
_atom_site_fract_y
_atom_site_fract_z
Ba1 Ba 0.0000 0.0000 0.0000
Si1 Si 0.5000 0.5000 0.5000
Tc1 Tc 0.0000 0.5000 0.5000

---

# 14
# Ba2SiTc, single point on PBEsol structure, DFT SCAN
# **Total magnetization**: 3.01 μB per formula unit
# **Energy relative to the elements, uncorrected**: 0.612 eV/atom
data_Ba2SiTc
_symmetry_space_group_name_H-M 'F -4 3 m'
_symmetry_Int_Tables_number 216
_symmetry_space_group_name_Hall 'F -4 2 3'
_cell_length_a 7.3990
_cell_length_b 7.3990
_cell_length_c 7.3990
_cell_angle_alpha 90.00
_cell_angle_beta 90.00
_cell_angle_gamma 90.00
loop_
_atom_site_label
_atom_site_type_symbol
_atom_site_fract_x
_atom_site_fract_y
_atom_site_fract_z
Ba1 Ba 0.0000 0.0000 0.0000
Ba2 Ba 0.2500 0.2500 0.2500
Si1 Si 0.0000 0.0000 0.5000
Tc1 Tc 0.2500 0.2500 0.7500

---

# 15
# BaSi4Tc, single point on PBEsol structure, DFT SCAN
# **Total magnetization**: 3.06 μB per formula unit
# **Energy relative to the elements, uncorrected**: 0.745 eV/atom
data_BaSi4Tc
_symmetry_space_group_name_H-M 'F -4 3 m'
_symmetry_Int_Tables_number 216
_symmetry_space_group_name_Hall 'F -4 2 3'
_cell_length_a 7.5389
_cell_length_b 7.5389
_cell_length_c 7.5389
_cell_angle_alpha 90.00
_cell_angle_beta 90.00
_cell_angle_gamma 90.00
loop_
_atom_site_label
_atom_site_type_symbol
_atom_site_fract_x
_atom_site_fract_y
_atom_site_fract_z
Ba1 Ba 0.0000 0.0000 0.0000
Si1 Si 0.1201 0.1201 0.6201
Tc1 Tc 0.2500 0.2500 0.2500

---

# 16
# Ba2SiTc, single point on PBEsol structure, DFT SCAN
# **Total magnetization**: 2.76 μB per formula unit
# **Energy relative to the elements, uncorrected**: 0.742 eV/atom
data_Ba2SiTc
_symmetry_space_group_name_H-M 'P m m m'
_symmetry_Int_Tables_number 47
_symmetry_space_group_name_Hall '-P 2 2'
_cell_length_a 3.4481
_cell_length_b 4.6036
_cell_length_c 6.8639
_cell_angle_alpha 90.00
_cell_angle_beta 90.00
_cell_angle_gamma 90.00
loop_
_atom_site_label
_atom_site_type_symbol
_atom_site_fract_x
_atom_site_fract_y
_atom_site_fract_z
Ba1 Ba 0.0000 0.0000 0.2477
Si1 Si 0.5000 0.5000 0.0000
Tc1 Tc 0.5000 0.5000 0.5000

---

# 17
# BaSi2TcW, single point on PBEsol structure, DFT SCAN
# **Total magnetization**: 1.90 μB per formula unit
# **Energy relative to the elements, uncorrected**: 0.640 eV/atom
data_BaSi2TcW
_symmetry_space_group_name_H-M 'P 4/m m m'
_symmetry_Int_Tables_number 123
_symmetry_space_group_name_Hall '-P 4 2'
_cell_length_a 4.6649
_cell_length_b 4.6649
_cell_length_c 4.9955
_cell_angle_alpha 90.00
_cell_angle_beta 90.00
_cell_angle_gamma 90.00
loop_
_atom_site_label
_atom_site_type_symbol
_atom_site_fract_x
_atom_site_fract_y
_atom_site_fract_z
Ba1 Ba 0.0000 0.0000 0.0000
Si1 Si 0.0000 0.5000 0.5000
Tc1 Tc 0.5000 0.5000 0.5000
W1 W 0.5000 0.5000 0.0000

---

# 18
# Ba2YSiTc, single point on PBEsol structure, DFT SCAN
# **Total magnetization**: 0.00 μB per formula unit
# **Energy relative to the elements, uncorrected**: 0.620 eV/atom
data_Ba2YSiTc
_symmetry_space_group_name_H-M 'P 4/m m m'
_symmetry_Int_Tables_number 123
_symmetry_space_group_name_Hall '-P 4 2'
_cell_length_a 5.7416
_cell_length_b 5.7416
_cell_length_c 4.7669
_cell_angle_alpha 90.00
_cell_angle_beta 90.00
_cell_angle_gamma 90.00
loop_
_atom_site_label
_atom_site_type_symbol
_atom_site_fract_x
_atom_site_fract_y
_atom_site_fract_z
Ba1 Ba 0.0000 0.5000 0.0000
Y1 Y 0.0000 0.0000 0.5000
Si1 Si 0.5000 0.5000 0.5000
Tc1 Tc 0.5000 0.5000 0.0000

---

# 19
# Ba2SiTe, single point on PBEsol structure, DFT SCAN
# **Total magnetization**: 0.00 μB per formula unit
# **Energy above the most stable polymorph in this dataset**: 216 meV/atom
# **Energy relative to the elements, uncorrected**: -0.627 eV/atom
data_Ba2SiTe
_symmetry_space_group_name_H-M 'I -4 m 2'
_symmetry_Int_Tables_number 119
_symmetry_space_group_name_Hall 'I -4 -2'
_cell_length_a 4.7786
_cell_length_b 4.7786
_cell_length_c 11.7311
_cell_angle_alpha 90.00
_cell_angle_beta 90.00
_cell_angle_gamma 90.00
loop_
_atom_site_label
_atom_site_type_symbol
_atom_site_fract_x
_atom_site_fract_y
_atom_site_fract_z
Ba1 Ba 0.0000 0.0000 0.0000
Ba2 Ba 0.0000 0.5000 0.2500
Si1 Si 0.0000 0.0000 0.5000
Te1 Te 0.0000 0.5000 0.7500

---

# 20
# Ba2SiTe, single point on PBEsol structure, DFT SCAN
# **Total magnetization**: 0.00 μB per formula unit
# **Energy above the most stable polymorph in this dataset**: 605 meV/atom
# **Energy relative to the elements, uncorrected**: -0.238 eV/atom
data_Ba2SiTe
_symmetry_space_group_name_H-M 'F -4 3 m'
_symmetry_Int_Tables_number 216
_symmetry_space_group_name_Hall 'F -4 2 3'
_cell_length_a 7.9511
_cell_length_b 7.9511
_cell_length_c 7.9511
_cell_angle_alpha 90.00
_cell_angle_beta 90.00
_cell_angle_gamma 90.00
loop_
_atom_site_label
_atom_site_type_symbol
_atom_site_fract_x
_atom_site_fract_y
_atom_site_fract_z
Ba1 Ba 0.0000 0.0000 0.0000
Ba2 Ba 0.2500 0.2500 0.2500
Si1 Si 0.0000 0.0000 0.5000
Te1 Te 0.2500 0.2500 0.7500